# Sb2W, relaxed, DFT GGA-PBE
# - relative energy among the computed polymorphs (meV per atom) = 41
# - crystal system = tetragonal
data_Sb2W
_chemical_formula_sum 'Sb8 W4'
_symmetry_space_group_name_H-M 'I 4/m c m'
_symmetry_Int_Tables_number 140
_symmetry_space_group_name_Hall '-I 4 2c'
_cell_length_a 6.6688
_cell_length_b 6.6688
_cell_length_c 5.7485
_cell_angle_alpha 90.00
_cell_angle_beta 90.00
_cell_angle_gamma 90.00
loop_
_atom_site_label
_atom_site_type_symbol
_atom_site_fract_x
_atom_site_fract_y
_atom_site_fract_z
Sb1 Sb 0.1559 0.3441 0.0000
W1 W 0.0000 0.0000 0.2500